1.
The following is a PBE with a Hubbard U calculation of Na4Dy3VO8 after structural relaxation, from the Alexandria database.

Values from the calculation:
energy = -107.03 eV per formula unit
size of the total moment = 2.0 μB per formula unit

extended XYZ file:
```
16
Lattice="-0.9762 3.6084 5.5287 -0.4701 -5.6855 3.6277 5.4222 1.0755 -3.7726" Properties=species:S:1:pos:R:3 pbc="T T T"
Na -0.4881 1.8042 2.7644
Na 2.2230 2.3419 0.8781
Na 0.0000 0.0000 0.0000
Na 2.7111 0.5377 -1.8863
Dy -0.7232 -1.0386 4.5782
Dy 1.9879 -0.5008 2.6919
Dy 2.4761 -2.3050 -0.0725
V -0.2350 -2.8427 1.8138
O 4.7666 -2.1431 0.0959
O 1.9757 -2.7109 2.1181
O 2.4597 -0.1173 0.5109
O 4.2469 -0.2221 3.0392
O -0.2710 -0.7795 2.3446
O 1.5162 -0.8843 4.8729
O 2.0002 1.7092 3.2657
O -0.7907 1.1414 5.2879
```

2.
The following is a PBE with a Hubbard U calculation of NaDyV2O8 after structural relaxation, from the Alexandria database.

Values from the calculation:
energy = -83.43 eV per formula unit
size of the total moment = 2.0 μB per formula unit

extended XYZ file:
```
12
Lattice="5.8580 0.0000 0.0000 -2.9290 5.0732 0.0000 0.0000 0.0000 6.8356" Properties=species:S:1:pos:R:3 pbc="T T T"
Na 0.0000 0.0000 3.4178
Dy 0.0000 0.0000 0.0000
V 2.9290 1.6911 2.0046
V 0.0000 3.3821 4.8310
O 4.3666 0.8611 1.4506
O 2.9290 3.3511 1.4506
O 1.4914 0.8611 1.4506
O 1.4376 4.2121 5.3849
O 0.0000 3.3821 3.1237
O 2.9290 1.6911 3.7119
O -1.4376 4.2121 5.3849
O 0.0000 1.7221 5.3849
```

3.
The following is a PBE with a Hubbard U calculation of NaDyW2O8 after structural relaxation, from the Alexandria database.

Values from the calculation:
energy = -87.77 eV per formula unit
size of the total moment = 0.0 μB per formula unit

extended XYZ file:
```
12
Lattice="6.2143 0.0433 0.0000 -2.7173 5.5889 0.0000 -1.7485 -2.8161 5.2566" Properties=species:S:1:pos:R:3 pbc="T T T"
Na 0.0000 0.0000 0.0000
Dy -1.3587 2.7944 2.6283
W 3.1071 0.0217 2.6283
W 1.7485 2.8161 0.0000
O 1.6545 -0.4663 1.6515
O 0.3061 2.4745 1.0452
O 0.3336 -1.4443 4.2114
O 3.3141 -1.4967 3.6051
O 3.1909 3.1577 1.0452
O 4.5598 0.5096 1.6515
O 2.9002 1.5401 3.6051
O -0.3336 1.4443 4.2114
```

4.
The following is a PBE with a Hubbard U calculation of Na2DyW3O12 after structural relaxation, from the Alexandria database.

Values from the calculation:
energy = -126.01 eV per formula unit
size of the total moment = 1.0 μB per formula unit

extended XYZ file:
```
18
Lattice="7.6629 0.1179 0.0836 3.8868 6.6051 0.0836 3.8868 2.2625 6.2061" Properties=species:S:1:pos:R:3 pbc="T T T"
Na 10.7729 6.2707 4.4477
Na 4.6637 2.7147 1.9255
Dy 0.0000 0.0000 0.0000
W 3.8315 0.0589 0.0418
W 1.9434 3.3025 0.0418
W 1.9434 1.1312 3.1030
O 7.0889 4.1263 5.8643
O 12.0272 7.0008 2.3876
O 9.9115 8.2024 5.8179
O 9.4996 2.7572 1.9556
O 12.0272 4.5677 5.8179
O 7.0889 6.8987 1.9556
O 8.3477 4.8591 0.5089
O 3.4094 1.9846 3.9857
O 5.5251 0.7830 0.5554
O 5.9370 6.2282 4.4176
O 3.4094 4.4177 0.5554
O 8.3477 2.0866 4.4176
```

5.
The following is a PBE with a Hubbard U calculation of Na2DyWO6 after structural relaxation, from the Alexandria database.

Values from the calculation:
energy = -66.41 eV per formula unit
size of the total moment = 1.1 μB per formula unit

extended XYZ file:
```
20
Lattice="5.7080 0.0000 -0.0196 0.0000 5.8403 0.0000 0.0217 0.0000 8.1610" Properties=species:S:1:pos:R:3 pbc="T T T"
Na 0.0471 5.6598 2.0585
Na 2.9119 3.1006 6.1292
Na 5.6826 0.1805 6.0828
Na 2.8178 2.7397 2.0122
Dy 2.8540 0.0000 -0.0098
Dy 0.0108 2.9202 4.0805
W 2.8648 0.0000 4.0707
W 0.0000 2.9202 0.0000
O 1.5610 4.0338 0.3258
O 4.4259 4.7267 4.3965
O 4.1687 1.8065 7.8156
O 1.3038 1.1136 3.7449
O 1.7970 4.2517 3.6888
O 4.6618 4.5088 7.7595
O 3.9327 1.5887 4.4525
O 1.0678 1.3315 0.3818
O 5.2295 3.0726 1.8636
O 2.3863 5.6879 5.9539
O 0.5002 2.7678 6.2778
O 3.3433 0.1524 2.1875
```

- Among the records above, which one has the lowest size of the total moment?
  NaDyW2O8

- Which of these has the lowest size of the total moment?
  NaDyW2O8

- Which of these has the lowest size of the total moment?
  NaDyW2O8